K3Pr3CrS8: optimized geometry, GGA-PBE.

a b c (Å): 8.8676 8.8676 8.8676
angles (deg): 54.47 54.47 54.47
Element x y z (fractional)
K1 0.0000 0.5000 0.5000
K2 0.5000 0.0000 0.5000
K3 0.5000 0.5000 0.0000
Pr1 0.0000 0.0000 0.5000
Pr2 0.0000 0.5000 0.0000
Pr3 0.5000 0.0000 0.0000
Cr1 0.5000 0.5000 0.5000
S1 0.2376 0.2376 0.2376
S2 0.2718 0.7075 0.7075
S3 0.2925 0.2925 0.7282
S4 0.2925 0.7282 0.2925
S5 0.7075 0.2718 0.7075
S6 0.7075 0.7075 0.2718
S7 0.7282 0.2925 0.2925
S8 0.7624 0.7624 0.7624

## Properties
E_form (uncorrected) = -1.479 eV/atom
Space-group type = No. 166

=====

K2PrCrSe4: optimized geometry, GGA-PBE.

a b c (Å): 7.1117 4.1441 8.0457
angles (deg): 90.00 107.58 90.00
Element x y z (fractional)
K1 0.0000 0.0000 0.0000
K2 0.5000 0.5000 0.0000
Pr1 0.0000 0.5000 0.5000
Cr1 0.5000 0.0000 0.5000
Se1 0.2670 0.0000 0.7047
Se2 0.3020 0.5000 0.3127
Se3 0.6980 0.5000 0.6873
Se4 0.7330 0.0000 0.2953

## Properties
E_form (uncorrected) = -1.198 eV/atom
Space-group type = No. 10

=====

KCrPt2: optimized geometry, GGA-PBE.

a b c (Å): 4.7329 4.7329 4.7329
angles (deg): 60.00 60.00 60.00
Element x y z (fractional)
K1 0.0000 0.0000 0.0000
Cr1 0.2500 0.2500 0.2500
Pt1 0.5000 0.5000 0.5000
Pt2 0.7500 0.7500 0.7500

## Properties
Energy relative to the elements = 0.589 eV/atom
Space-group type = No. 216